An optimized crystal structure of CaPm4Tl5. Source: Alexandria, functional PBE.

V: 291.86 Å³ per cell
ΔH_f (0 K): -395 meV per atom
Density of states at the Fermi level: 6.6 states/eV per cell

Cell: 3.8497 3.8497 19.6931 Å, 90.00 90.00 90.00°
Fractional positions:
Ca 0.0000 0.0000 0.0000
Pm 0.0000 0.0000 0.1983
Pm 0.0000 0.0000 0.4003
Pm 0.0000 0.0000 0.5997
Pm 0.0000 0.0000 0.8017
Tl 0.5000 0.5000 0.0995
Tl 0.5000 0.5000 0.3009
Tl 0.5000 0.5000 0.5000
Tl 0.5000 0.5000 0.6991
Tl 0.5000 0.5000 0.9005